# Ga2IBr2 PBE-GGA optimized geometry
data_Ga2IBr2
_symmetry_space_group_name_H-M 'P 1'
_symmetry_Int_Tables_number 1
_symmetry_space_group_name_Hall 'P 1'
_cell_length_a 8.7456
_cell_length_b 8.7456
_cell_length_c 4.2417
_cell_angle_alpha 90.00
_cell_angle_beta 90.00
_cell_angle_gamma 90.00
loop_
_atom_site_label
_atom_site_type_symbol
_atom_site_fract_x
_atom_site_fract_y
_atom_site_fract_z
_atom_site_occupancy
Ga1 Ga 0.2268 0.2732 0.0000 1
Ga2 Ga 0.2732 0.7732 0.0000 1
Ga3 Ga 0.7268 0.2268 0.0000 1
Ga4 Ga 0.7732 0.7268 0.0000 1
I1 I 0.0000 0.0000 0.0000 1
I2 I 0.5000 0.5000 0.0000 1
Br1 Br 0.1364 0.6364 0.5000 1
Br2 Br 0.3636 0.1364 0.5000 1
Br3 Br 0.6364 0.8636 0.5000 1
Br4 Br 0.8636 0.3636 0.5000 1
# Energy = -2.55 eV/atom
# SG = P4/mbm, No. 127

---

# GaIBr2 PBE-GGA optimized geometry
data_GaIBr2
_symmetry_space_group_name_H-M 'P 1'
_symmetry_Int_Tables_number 1
_symmetry_space_group_name_Hall 'P 1'
_cell_length_a 7.8869
_cell_length_b 7.8869
_cell_length_c 9.8423
_cell_angle_alpha 90.00
_cell_angle_beta 90.00
_cell_angle_gamma 90.00
loop_
_atom_site_label
_atom_site_type_symbol
_atom_site_fract_x
_atom_site_fract_y
_atom_site_fract_z
_atom_site_occupancy
Ga1 Ga 0.0000 0.0000 0.0000 1
Ga2 Ga 0.0000 0.5000 0.2500 1
Ga3 Ga 0.5000 0.0000 0.7500 1
Ga4 Ga 0.5000 0.5000 0.5000 1
I1 I 0.0000 0.0000 0.5000 1
I2 I 0.0000 0.5000 0.7500 1
I3 I 0.5000 0.0000 0.2500 1
I4 I 0.5000 0.5000 0.0000 1
Br1 Br 0.1268 0.2500 0.1250 1
Br2 Br 0.2500 0.6268 0.3750 1
Br3 Br 0.2500 0.8732 0.8750 1
Br4 Br 0.3732 0.2500 0.6250 1
Br5 Br 0.6268 0.7500 0.6250 1
Br6 Br 0.7500 0.1268 0.8750 1
Br7 Br 0.7500 0.3732 0.3750 1
Br8 Br 0.8732 0.7500 0.1250 1
# Energy = -2.17 eV/atom
# SG = I-42d, No. 122

---

# GaI3Br PBE-GGA optimized geometry
data_GaI3Br
_symmetry_space_group_name_H-M 'P 1'
_symmetry_Int_Tables_number 1
_symmetry_space_group_name_Hall 'P 1'
_cell_length_a 5.6609
_cell_length_b 5.6609
_cell_length_c 5.6609
_cell_angle_alpha 90.00
_cell_angle_beta 90.00
_cell_angle_gamma 90.00
loop_
_atom_site_label
_atom_site_type_symbol
_atom_site_fract_x
_atom_site_fract_y
_atom_site_fract_z
_atom_site_occupancy
Ga1 Ga 0.0000 0.0000 0.0000 1
I1 I 0.0000 0.0000 0.5000 1
I2 I 0.0000 0.5000 0.0000 1
I3 I 0.5000 0.0000 0.0000 1
Br1 Br 0.5000 0.5000 0.5000 1
# Energy = -1.78 eV/atom
# SG = Pm-3m, No. 221